LaSmSc: optimized geometry, PBE-GGA.

```
LaSmSc
1.0
0.000 3.786 3.786
3.786 0.000 3.786
3.786 3.786 0.000
Sc Sm La
1 1 1
Direct
0.000 0.000 0.000 Sc
0.750 0.750 0.750 Sm
0.250 0.250 0.250 La
```

E above lowest polymorph ... 0 meV per atom
ΔH_f (0 K) ... 638 meV per atom
Total DFT energy (no corrections) ... -14.0 eV per formula unit
SG ... F-43m